Record 1
The following is a DFT calculation (PBE) of an optimized crystal structure of LiSiB.

Lattice parameters (Å, degrees): 8.3409 8.3409 8.3409 23.73 23.73 23.73
Atoms (fractional coordinates):
B  0.1123  0.1123  0.1123
Li  0.6079  0.6079  0.6079
Li  0.3921  0.3921  0.3921
Si  0.7949  0.7949  0.7949
B  0.8877  0.8877  0.8877
Si  0.2051  0.2051  0.2051

Properties
Uncorrected formation energy: -21 meV/atom
Crystal system: trigonal

=====

Record 2
The following is a DFT calculation (PBE) of an optimized crystal structure of Li3Sn2Hg8.

Lattice parameters (Å, degrees): 8.9488 8.6220 6.4700 68.96 46.25 58.74
Atoms (fractional coordinates):
Hg  0.3513  0.2951  0.5235
Sn  0.3712  0.2603  0.9972
Li  0.0000  0.5000  0.5000
Hg  0.7799  0.9866  0.4536
Hg  0.2201  0.0134  0.5464
Li  0.7776  0.0000  0.0000
Sn  0.6288  0.7397  0.0028
Hg  0.8301  0.2951  0.5235
Hg  0.1837  0.6695  0.9631
Hg  0.8163  0.3305  0.0369
Hg  0.6487  0.7049  0.4765
Li  0.2224  0.0000  0.0000
Hg  0.1699  0.7049  0.4765

Properties
Crystal system: monoclinic
Formation energy: -127 meV/atom

=====

Record 3
The following is a DFT calculation (PBE) of an optimized crystal structure of Nd4AsPBr2.

Lattice parameters (Å, degrees): 4.2147 7.3567 7.6679 108.66 90.00 90.00
Atoms (fractional coordinates):
Nd  0.5000  0.2484  0.2054
Nd  0.5000  0.7516  0.7946
Nd  0.0000  0.2761  0.7965
Br  0.5000  0.0000  0.5000
P  0.5000  0.5000  0.0000
Nd  0.0000  0.7239  0.2035
Br  0.0000  0.5000  0.5000
As  0.0000  0.0000  0.0000

Properties
Uncorrected formation energy: -1465 meV/atom
Crystal system: monoclinic

=====

Record 4
The following is a DFT calculation (PBE) of an optimized crystal structure of CdCu2Pb2.

Lattice parameters (Å, degrees): 3.5142 3.5142 9.4636 79.30 79.30 90.00
Atoms (fractional coordinates):
Cu  0.7500  0.2500  0.5000
Pb  0.3774  0.3774  0.2453
Cu  0.2500  0.7500  0.5000
Pb  0.6226  0.6226  0.7547
Cd  0.0000  0.0000  0.0000

Properties
Energy relative to the lowest polymorph listed for this composition: 0.032 eV per atom
Crystal system: tetragonal
Formation energy: 190 meV/atom

=====

Values for total DFT energy (no corrections), eV/atom, ordered as above
-4.69; -1.37; -5.52; -3.11